A geometry-optimized LuCd2Pd structure. Source: Alexandria via LeMat-Bulk, functional PBE.

a = 4.146 Å, b = 4.146 Å, c = 4.889 Å
α = 90.00°, β = 90.00°, γ = 90.00°
Space group P4/mmm (No. 123)
One atom of each set of equivalent atoms:
Lu 0.000 0.000 0.000 (multiplicity 1)
Cd 0.000 0.500 0.500 (multiplicity 2)
Pd 0.500 0.500 0.000 (multiplicity 1)

## Properties
The formation energy is -399.2 meV/atom.


A geometry-optimized LuCdPd2 structure. Source: Alexandria via LeMat-Bulk, functional PBE.

a = 3.518 Å, b = 3.518 Å, c = 6.087 Å
α = 90.00°, β = 90.00°, γ = 90.00°
Space group P4/mmm (No. 123)
One atom of each set of equivalent atoms:
Lu 0.000 0.000 0.000 (multiplicity 1)
Cd 0.000 0.000 0.500 (multiplicity 1)
Pd 0.500 0.500 0.253 (multiplicity 2)

## Properties
The formation energy is -737.4 meV/atom.


A geometry-optimized LuCd2Pd structure. Source: Alexandria via LeMat-Bulk, functional PBE.

a = 3.1508 Å, b = 3.1508 Å, c = 31.6006 Å
α = 90.00°, β = 90.00°, γ = 120.00°
Space group R-3m (No. 166, hexagonal axes)
One atom of each set of equivalent atoms:
Lu 0.0000 0.0000 0.0000 (multiplicity 3)
Cd 0.0000 0.0000 0.0982 (multiplicity 6)
Pd 0.0000 0.0000 0.5000 (multiplicity 3)

## Properties
The formation energy is 42.4 meV/atom.


A geometry-optimized LuCdPd2 structure. Source: Alexandria via LeMat-Bulk, functional PBE.

a = 4.678 Å, b = 4.678 Å, c = 3.420 Å
α = 90.00°, β = 90.00°, γ = 90.00°
Space group P4/mmm (No. 123)
One atom of each set of equivalent atoms:
Lu 0.000 0.000 0.000 (multiplicity 1)
Cd 0.500 0.500 0.000 (multiplicity 1)
Pd 0.000 0.500 0.500 (multiplicity 2)

## Properties
The formation energy is -716.9 meV/atom.


A geometry-optimized LuCdPd structure. Source: Alexandria via LeMat-Bulk, functional PBE.

a = 6.579 Å, b = 6.579 Å, c = 6.579 Å
α = 90.00°, β = 90.00°, γ = 90.00°
Space group F-43m (No. 216)
One atom of each set of equivalent atoms:
Lu 0.000 0.000 0.000 (multiplicity 4)
Cd 0.000 0.000 0.500 (multiplicity 4)
Pd 0.250 0.250 0.250 (multiplicity 4)

## Properties
The formation energy is -560.5 meV/atom.


A geometry-optimized LuCd2Pd structure. Source: Alexandria via LeMat-Bulk, functional PBE.

a = 6.866 Å, b = 6.866 Å, c = 6.866 Å
α = 90.00°, β = 90.00°, γ = 90.00°
Space group Fm-3m (No. 225)
One atom of each set of equivalent atoms:
Lu 0.000 0.000 0.000 (multiplicity 4)
Cd 0.250 0.250 0.250 (multiplicity 8)
Pd 0.000 0.000 0.500 (multiplicity 4)

## Properties
The formation energy is -353.3 meV/atom.


Number 1: density of states at the Fermi level 2.583 states/eV per cell. Number 2: density of states at the Fermi level 1.516 states/eV per cell. Number 3: density of states at the Fermi level 7.443 states/eV per cell. Number 4: density of states at the Fermi level 1.371 states/eV per cell. Number 5: density of states at the Fermi level 6.591 states/eV per cell. Number 6: density of states at the Fermi level 11.348 states/eV per cell.